1.
Compound: CuSi2PbO6
Source: Alexandria via LeMat-Bulk
Functional: PBE
Structure: optimized geometry

crystal system = monoclinic
theoretical density = 5.13 g/cm3
space group = No. 15
total moment = 2.1 μB/cell

Cell: 7.332 7.332 5.495 Å, 105.27 105.27 81.40°
Positions (direct):
Cu 0.200 0.800 0.750
Cu 0.800 0.200 0.250
Si 0.140 0.333 0.709
Si 0.333 0.140 0.209
Si 0.667 0.860 0.791
Si 0.860 0.667 0.291
Pb 0.351 0.649 0.250
Pb 0.649 0.351 0.750
O 0.074 0.741 0.392
O 0.146 0.561 0.820
O 0.245 0.257 0.463
O 0.257 0.245 0.963
O 0.259 0.926 0.108
O 0.439 0.854 0.680
O 0.561 0.146 0.320
O 0.741 0.074 0.892
O 0.743 0.755 0.037
O 0.755 0.743 0.537
O 0.854 0.439 0.180
O 0.926 0.259 0.608


2.
Compound: Dy4TlIn
Source: Alexandria via LeMat-Bulk
Functional: PBE
Structure: optimized geometry

energy above the most stable polymorph in this dataset = 0.00 eV/f.u.
crystal system = trigonal
theoretical density = 8.18 g/cm3
space group = No. 166
total moment = 0.0 μB/cell
energy of formation = -65 meV per atom

Cell: 8.969 8.969 8.969 Å, 33.60 33.60 33.60°
Positions (direct):
Dy 0.125 0.125 0.125
Dy 0.374 0.374 0.374
Dy 0.626 0.626 0.626
Dy 0.875 0.875 0.875
Tl 0.500 0.500 0.500
In 0.000 0.000 0.000


3.
Compound: Zr2PAu2
Source: Alexandria via LeMat-Bulk
Functional: PBE
Structure: optimized geometry

crystal system = tetragonal
theoretical density = 9.73 g/cm3
space group = No. 127
total moment = 0.0 μB/cell
energy of formation = -554 meV per atom

Cell: 6.957 6.957 4.284 Å, 90.00 90.00 90.00°
Positions (direct):
Zr 0.166 0.334 0.000
Zr 0.334 0.834 0.000
Zr 0.666 0.166 0.000
Zr 0.834 0.666 0.000
P 0.000 0.000 0.000
P 0.500 0.500 0.000
Au 0.140 0.640 0.500
Au 0.360 0.140 0.500
Au 0.640 0.860 0.500
Au 0.860 0.360 0.500


4.
Compound: BaCd2In
Source: Alexandria via LeMat-Bulk
Functional: PBE
Structure: optimized geometry

crystal system = orthorhombic
theoretical density = 6.56 g/cm3
space group = No. 38
total moment = 0.0 μB/cell
energy of formation = -321 meV per atom

Cell: 7.723 6.527 6.527 Å, 47.17 90.00 90.00°
Positions (direct):
Ba 0.000 0.000 0.000
Ba 0.500 0.184 0.184
Cd 0.000 0.299 0.299
Cd 0.309 0.464 0.464
Cd 0.500 0.886 0.886
Cd 0.691 0.464 0.464
In 0.193 0.713 0.713
In 0.807 0.713 0.713


5.
Compound: KPdSe2
Source: Alexandria via LeMat-Bulk
Functional: PBE
Structure: optimized geometry

crystal system = orthorhombic
theoretical density = 3.78 g/cm3
space group = No. 63
total moment = 0.0 μB/cell

Cell: 6.737 6.737 7.502 Å, 90.00 90.00 128.41°
Positions (direct):
K 0.146 0.854 0.750
K 0.854 0.146 0.250
Pd 0.498 0.502 0.750
Pd 0.502 0.498 0.250
Se 0.369 0.631 0.002
Se 0.369 0.631 0.498
Se 0.631 0.369 0.502
Se 0.631 0.369 0.998


6.
Compound: HoTiZnPt
Source: Alexandria via LeMat-Bulk
Functional: PBE
Structure: optimized geometry

crystal system = cubic
theoretical density = 10.44 g/cm3
space group = No. 216
total moment = 1.1 μB/cell
energy of formation = -532 meV per atom

Cell: 4.739 4.739 4.739 Å, 60.00 60.00 60.00°
Positions (direct):
Ho 0.000 0.000 0.000
Ti 0.500 0.500 0.500
Zn 0.750 0.750 0.750
Pt 0.250 0.250 0.250


| no. | E (eV/f.u.) |
| --- | --- |
| 1 | -67.734 |
| 2 | -23.906 |
| 3 | -31.830 |
| 4 | -7.777 |
| 5 | -15.456 |
| 6 | -21.916 |